(1)
This record from Alexandria describes a geometry-optimized CrAgIr2 structure. The functional is PBE.

POSCAR file:
```
CrAgIr2
1.0
-1.327 -2.917 -2.990
-4.076 0.200 -1.599
-0.669 1.260 -4.145
Ir Cr Ag
2 1 1
direct
0.750 0.750 0.750 Ir
0.250 0.250 0.250 Ir
0.000 0.000 0.000 Cr
0.500 0.500 0.500 Ag
```

Computed properties:
Energy above the lowest structure with this stoichiometry   140.8 kJ/mol of formula units
Total energy   -7.144 eV per atom
Symmetry   Fm-3m (225)
Total magnetization   1.5 Bohr magnetons per cell

***

(2)
This record from Alexandria describes a geometry-optimized Cr2AgIr structure. The functional is PBE.

POSCAR file:
```
Cr2AgIr
1.0
2.676 0.008 0.000
-1.125 2.429 0.000
0.000 0.000 8.743
Cr Ir Ag
2 1 1
direct
0.000 0.000 0.036 Cr
0.500 0.500 0.231 Cr
0.000 0.000 0.472 Ir
0.500 0.500 0.761 Ag
```

Computed properties:
Total energy   -7.440 eV per atom
Symmetry   Cmm2 (35)
Total magnetization   0.0 Bohr magnetons per cell

***

(3)
This record from Alexandria describes a geometry-optimized CrAgIr3 structure. The functional is PBE.

POSCAR file:
```
CrAgIr3
1.0
-3.053 -3.297 0.055
1.706 -1.515 3.872
-2.822 2.652 2.281
Ir Cr Ag
3 1 1
direct
0.000 0.000 0.500 Ir
0.000 0.500 0.000 Ir
0.500 0.000 0.000 Ir
0.000 0.000 0.000 Cr
0.500 0.500 0.500 Ag
```

Computed properties:
Energy above the lowest structure with this stoichiometry   0.0 kJ/mol of formula units
Total energy   -6.572 eV per atom
Symmetry   Pm-3m (221)
Total magnetization   0.0 Bohr magnetons per cell

***

(4)
This record from Alexandria describes a geometry-optimized CrAg4Ir structure. The functional is PBE.

POSCAR file:
```
CrAg4Ir
1.0
2.035 -3.325 -3.629
3.260 -3.929 1.519
-1.653 -5.059 -0.199
Ir Ag Cr
1 4 1
direct
0.000 0.000 0.000 Ir
0.625 0.625 0.125 Ag
0.625 0.125 0.625 Ag
0.125 0.625 0.625 Ag
0.625 0.625 0.625 Ag
0.250 0.250 0.250 Cr
```

Computed properties:
Total energy   -4.359 eV per atom
Symmetry   F-43m (216)
Total magnetization   4.2 Bohr magnetons per cell

***

(5)
This record from Alexandria describes a geometry-optimized CrAgIr2 structure. The functional is PBE.

POSCAR file:
```
CrAgIr2
1.0
-2.646 2.742 -0.740
-1.415 -0.385 3.631
2.491 2.745 1.262
Cr Ir Ag
1 2 1
direct
0.500 0.000 0.500 Cr
0.000 0.500 0.500 Ir
0.000 0.000 0.000 Ir
0.500 0.500 0.000 Ag
```

Computed properties:
Energy above the lowest structure with this stoichiometry   99.7 kJ/mol of formula units
Total energy   -7.250 eV per atom
Symmetry   P4/mmm (123)
Total magnetization   2.3 Bohr magnetons per cell

***

(6)
This record from Alexandria describes a geometry-optimized CrAgIr2 structure. The functional is PBE.

POSCAR file:
```
CrAgIr2
1.0
-0.758 2.401 -1.214
-4.593 -0.971 0.947
-2.710 1.459 4.576
Cr Ir Ag
1 2 1
direct
0.000 0.000 0.500 Cr
0.500 0.500 0.000 Ir
0.000 0.000 0.000 Ir
0.500 0.500 0.500 Ag
```

Computed properties:
Energy above the lowest structure with this stoichiometry   91.7 kJ/mol of formula units
Total energy   -7.271 eV per atom
Symmetry   P2/m (10)
Total magnetization   3.2 Bohr magnetons per cell

***

(7)
This record from Alexandria describes a geometry-optimized Cr4AgIr structure. The functional is PBE.

POSCAR file:
```
Cr4AgIr
1.0
0.000 3.392 3.392
3.392 0.000 3.392
3.392 3.392 0.000
Ir Ag Cr
1 1 4
direct
0.750 0.750 0.750 Ir
0.000 0.000 0.000 Ag
0.372 0.372 0.885 Cr
0.372 0.885 0.372 Cr
0.885 0.372 0.372 Cr
0.372 0.372 0.372 Cr
```

Computed properties:
Total energy   -8.139 eV per atom
Symmetry   F-43m (216)
Total magnetization   0.0 Bohr magnetons per cell

***

(8)
This record from Alexandria describes a geometry-optimized CrAg3Ir structure. The functional is PBE.

POSCAR file:
```
CrAg3Ir
1.0
4.777 0.000 0.000
0.000 4.777 0.000
0.000 0.000 4.777
Cr Ir Ag
1 1 3
direct
0.000 0.000 0.000 Cr
0.500 0.500 0.500 Ir
0.000 0.500 0.000 Ag
0.000 0.000 0.500 Ag
0.500 0.000 0.000 Ag
```

Computed properties:
Total energy   -3.689 eV per atom
Symmetry   Pm-3m (221)
Total magnetization   5.3 Bohr magnetons per cell

***

(9)
This record from Alexandria describes a geometry-optimized Cr2AgIr structure. The functional is PBE.

POSCAR file:
```
Cr2AgIr
1.0
-1.944 1.878 -3.445
0.063 -1.988 -3.901
-3.679 -1.716 -1.642
Ag Cr Ir
1 2 1
direct
0.500 0.500 0.500 Ag
0.750 0.750 0.750 Cr
0.000 0.000 0.000 Cr
0.250 0.250 0.250 Ir
```

Computed properties:
Total energy   -7.343 eV per atom
Symmetry   F-43m (216)
Total magnetization   1.4 Bohr magnetons per cell

***

(10)
This record from Alexandria describes a geometry-optimized CrAgIr2 structure. The functional is PBE.

POSCAR file:
```
CrAgIr2
1.0
-8.158 -3.910 -1.527
-6.590 -5.680 -2.912
-6.948 -5.988 -0.213
Ag Ir Cr
1 2 1
direct
0.250 0.250 0.250 Ag
0.009 0.009 0.009 Ir
0.491 0.491 0.491 Ir
0.750 0.750 0.750 Cr
```

Computed properties:
Energy above the lowest structure with this stoichiometry   0.0 kJ/mol of formula units
Total energy   -7.509 eV per atom
Symmetry   R-3m (166)
Total magnetization   0.0 Bohr magnetons per cell

***

(11)
This record from Alexandria describes a geometry-optimized CrAgIr structure. The functional is PBE.

POSCAR file:
```
CrAgIr
1.0
-4.769 1.532 -5.451
-3.869 -0.931 -5.980
-2.390 0.171 1.189
Ir Cr Ag
1 1 1
direct
0.679 0.679 0.321 Ir
0.324 0.324 0.676 Cr
0.996 0.996 0.004 Ag
```

Computed properties:
Energy above the lowest structure with this stoichiometry   55.7 kJ/mol of formula units
Total energy   -6.723 eV per atom
Symmetry   Fmm2 (42)
Total magnetization   0.0 Bohr magnetons per cell

***

(12)
This record from Alexandria describes a geometry-optimized CrAgIr2 structure. The functional is PBE.

POSCAR file:
```
CrAgIr2
1.0
-1.736 -1.084 1.993
1.147 -4.326 -1.355
3.477 -0.023 3.016
Ag Ir Cr
1 2 1
direct
0.500 0.000 0.500 Ag
0.500 0.500 0.000 Ir
0.000 0.000 0.000 Ir
0.000 0.500 0.500 Cr
```

Computed properties:
Energy above the lowest structure with this stoichiometry   144.2 kJ/mol of formula units
Total energy   -7.135 eV per atom
Symmetry   Pmmm (47)
Total magnetization   3.4 Bohr magnetons per cell